*one*
{"formula": "ErTm6Sc2", "functional": "GGA-PBE", "state": "optimized geometry", "cell": [[3.4891, 0.0000, 0.0000], [-1.7446, 3.0217, 0.0000], [0.0000, 0.0000, 25.0481]], "species": ["Er", "Tm", "Tm", "Tm", "Tm", "Tm", "Tm", "Sc", "Sc"], "frac_coords": [[0.0000, 0.0000, 0.0000], [0.0000, 0.0000, 0.2240], [0.0000, 0.0000, 0.4329], [0.0000, 0.0000, 0.5671], [0.0000, 0.0000, 0.7760], [0.3333, 0.6667, 0.1118], [0.3333, 0.6667, 0.8882], [0.3333, 0.6667, 0.3290], [0.3333, 0.6667, 0.6710]], "n_ef_per_ev_cell": 16.126, "magnetic_moment_mub_per_atom": 0.0000, "space_group": "P-6m2"}


*two*
{"formula": "ErTm6Sc2", "functional": "GGA-PBE", "state": "optimized geometry", "cell": [[6.1505, -6.9909, 0.0000], [6.1505, 6.9909, 0.0000], [-1.4689, 0.0000, 6.1055]], "species": ["Er", "Er", "Tm", "Tm", "Tm", "Tm", "Tm", "Tm", "Tm", "Tm", "Tm", "Tm", "Tm", "Tm", "Sc", "Sc", "Sc", "Sc"], "frac_coords": [[0.1169, 0.8831, 0.7500], [0.8831, 0.1169, 0.2500], [0.0545, 0.2310, 0.8065], [0.0728, 0.4542, 0.2841], [0.2310, 0.0545, 0.3065], [0.2742, 0.6404, 0.9896], [0.3596, 0.7258, 0.5104], [0.4542, 0.0728, 0.7841], [0.5458, 0.9272, 0.2159], [0.6404, 0.2742, 0.4896], [0.7258, 0.3596, 0.0104], [0.7690, 0.9455, 0.6935], [0.9272, 0.5458, 0.7159], [0.9455, 0.7690, 0.1935], [0.3471, 0.3853, 0.6371], [0.3853, 0.3471, 0.1371], [0.6147, 0.6529, 0.8629], [0.6529, 0.6147, 0.3629]], "n_ef_per_ev_cell": 24.907, "magnetic_moment_mub_per_atom": 0.0000, "space_group": "C2/c"}


Last place for stability: *two*